Entry 1:
Entry from Alexandria: Eu3Ga5S12 after structural relaxation (PBE).

Computed properties:
formation energy (no corrections): -0.99 eV per atom
N(E_F): 61.32 states/eV/cell
SG: Ia-3d (230)
calculated total energy: -0.4239 Ry/atom

```
data_Eu3Ga5S12
_chemical_formula_sum 'Eu12 Ga20 S48'
_cell_length_a 13.207
_cell_length_b 13.207
_cell_length_c 13.207
_cell_angle_alpha 109.47
_cell_angle_beta 109.47
_cell_angle_gamma 109.47
_symmetry_space_group_name_H-M 'P 1'
_symmetry_Int_Tables_number 1
loop_
_symmetry_equiv_pos_as_xyz
'x,y,z'
loop_
_atom_site_label
_atom_site_fract_x
_atom_site_fract_y
_atom_site_fract_z
S1 0.087 0.178 0.207
S2 0.793 0.322 0.913
S3 0.207 0.678 0.087
S4 0.293 0.880 0.971
S5 0.380 0.971 0.793
S6 0.029 0.409 0.822
S7 0.380 0.409 0.087
S8 0.793 0.471 0.380
S9 0.087 0.909 0.380
S10 0.587 0.880 0.409
S11 0.909 0.822 0.529
S12 0.471 0.678 0.091
S13 0.971 0.380 0.293
S14 0.909 0.087 0.880
S15 0.413 0.120 0.591
S16 0.620 0.029 0.207
S17 0.120 0.413 0.091
S18 0.091 0.913 0.120
S19 0.913 0.091 0.620
S20 0.707 0.120 0.029
S21 0.971 0.591 0.178
S22 0.322 0.793 0.413
S23 0.120 0.707 0.529
S24 0.707 0.587 0.178
S25 0.529 0.207 0.120
S26 0.880 0.587 0.909
S27 0.678 0.471 0.591
S28 0.409 0.380 0.587
S29 0.178 0.087 0.707
S30 0.178 0.091 0.971
S31 0.471 0.793 0.880
S32 0.822 0.909 0.029
S33 0.322 0.529 0.409
S34 0.822 0.913 0.293
S35 0.678 0.207 0.587
S36 0.880 0.293 0.471
S37 0.913 0.822 0.793
S38 0.207 0.529 0.620
S39 0.591 0.620 0.413
S40 0.413 0.293 0.322
S41 0.091 0.178 0.471
S42 0.587 0.707 0.678
S43 0.409 0.029 0.322
S44 0.591 0.971 0.678
S45 0.029 0.620 0.707
S46 0.620 0.591 0.913
S47 0.293 0.413 0.822
S48 0.529 0.322 0.909
Ga1 0.375 0.250 0.125
Ga2 0.375 0.125 0.750
Ga3 0.750 0.625 0.375
Ga4 0.125 0.375 0.250
Ga5 0.625 0.750 0.875
Ga6 0.500 0.500 0.000
Ga7 0.500 0.000 0.000
Ga8 0.000 0.000 0.500
Ga9 0.500 0.500 0.500
Ga10 0.250 0.875 0.125
Ga11 0.000 0.000 0.000
Ga12 0.625 0.875 0.250
Ga13 0.875 0.625 0.750
Ga14 0.250 0.375 0.625
Ga15 0.750 0.125 0.875
Ga16 0.000 0.500 0.500
Ga17 0.000 0.500 0.000
Ga18 0.500 0.000 0.500
Ga19 0.125 0.750 0.375
Ga20 0.875 0.250 0.625
Eu1 0.250 0.625 0.875
Eu2 0.125 0.875 0.750
Eu3 0.250 0.125 0.375
Eu4 0.625 0.250 0.375
Eu5 0.875 0.750 0.125
Eu6 0.875 0.125 0.250
Eu7 0.750 0.375 0.125
Eu8 0.375 0.625 0.250
Eu9 0.375 0.750 0.625
Eu10 0.125 0.250 0.875
Eu11 0.750 0.875 0.625
Eu12 0.625 0.375 0.750
```


Entry 2:
Entry from Alexandria: LiCaMg6 after structural relaxation (PBE).

Computed properties:
excess energy over the best structure of this formula in the dataset: 0 kJ/mol of formula units
N(E_F): 3.20 states/eV/cell
SG: R-3m (166)
calculated total energy: -0.1261 Ry/atom
calculated formation energy: -0.2 eV per formula unit

```
data_LiCaMg6
_chemical_formula_sum 'Li1 Ca1 Mg6'
_cell_length_a 5.145
_cell_length_b 5.145
_cell_length_c 8.957
_cell_angle_alpha 73.31
_cell_angle_beta 73.31
_cell_angle_gamma 60.00
_symmetry_space_group_name_H-M 'P 1'
_symmetry_Int_Tables_number 1
loop_
_symmetry_equiv_pos_as_xyz
'x,y,z'
loop_
_atom_site_label
_atom_site_fract_x
_atom_site_fract_y
_atom_site_fract_z
Mg1 0.630 0.630 0.109
Mg2 0.370 0.370 0.891
Mg3 0.753 0.753 0.740
Mg4 0.884 0.884 0.347
Mg5 0.116 0.116 0.653
Mg6 0.247 0.247 0.260
Li1 0.000 0.000 0.000
Ca1 0.500 0.500 0.500
```


Entry 3:
Entry from Alexandria: Y8Co5 after structural relaxation (PBE).

Computed properties:
N(E_F): 51.75 states/eV/cell
SG: P2_1/c (14)
calculated total energy: -0.5060 Ry/atom
calculated formation energy: -2.3 eV per formula unit

```
data_Y8Co5
_chemical_formula_sum 'Y32 Co20'
_cell_length_a 7.044
_cell_length_b 7.199
_cell_length_c 23.638
_cell_angle_alpha 90.00
_cell_angle_beta 94.82
_cell_angle_gamma 90.00
_symmetry_space_group_name_H-M 'P 1'
_symmetry_Int_Tables_number 1
loop_
_symmetry_equiv_pos_as_xyz
'x,y,z'
loop_
_atom_site_label
_atom_site_fract_x
_atom_site_fract_y
_atom_site_fract_z
Co1 0.912 0.615 0.405
Co2 0.199 0.531 0.368
Co3 0.642 0.028 0.283
Co4 0.142 0.472 0.783
Co5 0.301 0.031 0.132
Co6 0.088 0.385 0.595
Co7 0.669 0.029 0.765
Co8 0.543 0.855 0.518
Co9 0.699 0.969 0.868
Co10 0.457 0.145 0.482
Co11 0.412 0.885 0.905
Co12 0.957 0.355 0.982
Co13 0.801 0.469 0.632
Co14 0.331 0.971 0.235
Co15 0.358 0.972 0.717
Co16 0.169 0.471 0.265
Co17 0.043 0.645 0.018
Co18 0.858 0.528 0.217
Co19 0.831 0.529 0.735
Co20 0.588 0.115 0.095
Y1 0.835 0.316 0.835
Y2 0.273 0.334 0.058
Y3 0.335 0.184 0.335
Y4 0.485 0.687 0.798
Y5 0.985 0.817 0.804
Y6 0.515 0.313 0.202
Y7 0.727 0.666 0.942
Y8 0.985 0.813 0.298
Y9 0.148 0.670 0.677
Y10 0.485 0.683 0.304
Y11 0.648 0.830 0.177
Y12 0.272 0.043 0.585
Y13 0.852 0.330 0.323
Y14 0.015 0.183 0.196
Y15 0.393 0.816 0.037
Y16 0.515 0.317 0.696
Y17 0.228 0.543 0.915
Y18 0.925 0.973 0.065
Y19 0.772 0.457 0.085
Y20 0.893 0.684 0.537
Y21 0.107 0.316 0.463
Y22 0.607 0.184 0.963
Y23 0.665 0.816 0.665
Y24 0.227 0.834 0.442
Y25 0.075 0.027 0.935
Y26 0.352 0.170 0.823
Y27 0.165 0.684 0.165
Y28 0.015 0.187 0.702
Y29 0.575 0.473 0.435
Y30 0.773 0.166 0.558
Y31 0.728 0.957 0.415
Y32 0.425 0.527 0.565
```